No. 1
A plane-wave DFT calculation with PBE was carried out for BaPa4Rh3O12 after structural relaxation.

The magnetic moment comes out at 0.95 μB/f.u. The calculation puts the total energy at -8.643 eV per atom. Its uncorrected formation energy is -248 kJ/mol of atoms.

The structure belongs to space group Im-3 (No. 204); the cell edges are 8.303, 8.303 and 8.303 Å and the angles 90.00°, 90.00° and 90.00°. The inequivalent atoms are Ba at (0.000, 0.000, 0.000), Pa at (0.250, 0.250, 0.250), Rh at (0.000, 0.000, 0.500) and O at (0.000, 0.299, 0.164).

No. 2
A plane-wave DFT calculation with PBE was carried out for Ba2Pa3RhO12 after structural relaxation.

The magnetic moment comes out at 2.03 μB/f.u. The calculation puts the total energy at -8.268 eV per atom. Its uncorrected formation energy is -266 kJ/mol of atoms.

The structure belongs to space group R-3m (No. 166, hexagonal axes); the cell edges are 8.0090, 8.0090 and 18.5259 Å and the angles 90.00°, 90.00° and 120.00°. The inequivalent atoms are Ba at (0.0000, 0.0000, 0.1747), Pa at (0.0000, 0.5000, 0.0000), Rh at (0.0000, 0.0000, 0.5000), O at (0.0896, 0.5448, 0.3748) and O at (0.0950, 0.5475, 0.1087).

No. 3
A plane-wave DFT calculation with PBE was carried out for Ba2PaRu3O12 after structural relaxation.

The magnetic moment comes out at 0.00 μB/f.u. The calculation puts the total energy at -7.429 eV per atom. Its uncorrected formation energy is -177 kJ/mol of atoms.

The structure belongs to space group R-3m (No. 166, hexagonal axes); the cell edges are 7.2395, 7.2395 and 18.2461 Å and the angles 90.00°, 90.00° and 120.00°. The inequivalent atoms are Ba at (0.0000, 0.0000, 0.1362), Pa at (0.0000, 0.0000, 0.5000), Ru at (0.0000, 0.5000, 0.0000), O at (0.0218, 0.5109, 0.1109) and O at (0.0792, 0.5396, 0.3383).

No. 4
A plane-wave DFT calculation with PBE was carried out for BaPa2RuO8 after structural relaxation.

The magnetic moment comes out at 2.00 μB/f.u. The calculation puts the total energy at -8.479 eV per atom. Its uncorrected formation energy is -256 kJ/mol of atoms.

The structure belongs to space group P2/m (No. 10); the cell edges are 5.118, 7.183 and 5.120 Å and the angles 90.00°, 92.54° and 90.00°. The inequivalent atoms are Ba at (0.000, 0.000, 0.000), Pa at (0.500, 0.259, 0.500), Ru at (0.000, 0.500, 0.000), O at (0.202, 0.305, 0.206), O at (0.296, 0.500, 0.707) and O at (0.342, 0.000, 0.668).

No. 5
A plane-wave DFT calculation with PBE was carried out for Ba3PaRu2O9 after structural relaxation.

The magnetic moment comes out at 3.03 μB/f.u. The calculation puts the total energy at -7.569 eV per atom. Its uncorrected formation energy is -226 kJ/mol of atoms.

The structure belongs to space group P-3m1 (No. 164); the cell edges are 5.8957, 5.8957 and 7.3130 Å and the angles 90.00°, 90.00° and 120.00°. The inequivalent atoms are Ba at (0.0000, 0.0000, 0.0000), Ba at (0.3333, 0.6667, 0.6925), Pa at (0.0000, 0.0000, 0.5000), Ru at (0.3333, 0.6667, 0.1567), O at (0.0000, 0.5000, 0.0000) and O at (0.1718, 0.3436, 0.3249).

No. 6
A plane-wave DFT calculation with PBE was carried out for Ba2PaRuO6 after structural relaxation.

The magnetic moment comes out at 1.50 μB/f.u. The calculation puts the total energy at -7.820 eV per atom. Its uncorrected formation energy is -249 kJ/mol of atoms.

The structure belongs to space group P4/mmm (No. 123); the cell edges are 4.307, 4.307 and 8.521 Å and the angles 90.00°, 90.00° and 90.00°. The inequivalent atoms are Ba at (0.000, 0.000, 0.211), Pa at (0.500, 0.500, 0.500), Ru at (0.500, 0.500, 0.000), O at (0.000, 0.500, 0.000), O at (0.000, 0.500, 0.500) and O at (0.500, 0.500, 0.246).

No. 7
A plane-wave DFT calculation with PBE was carried out for Ba2Pa3RuO12 after structural relaxation.

The magnetic moment comes out at 3.00 μB/f.u. The calculation puts the total energy at -8.460 eV per atom. Its uncorrected formation energy is -274 kJ/mol of atoms.

The structure belongs to space group R-3m (No. 166, hexagonal axes); the cell edges are 8.0102, 8.0102 and 18.5852 Å and the angles 90.00°, 90.00° and 120.00°. The inequivalent atoms are Ba at (0.0000, 0.0000, 0.1756), Pa at (0.0000, 0.5000, 0.0000), Ru at (0.0000, 0.0000, 0.5000), O at (0.0899, 0.5450, 0.3746) and O at (0.0968, 0.5484, 0.1087).

No. 8
A plane-wave DFT calculation with PBE was carried out for BaPaS2O8 after structural relaxation.

The magnetic moment comes out at 0.72 μB/f.u. The calculation puts the total energy at -6.803 eV per atom. Its uncorrected formation energy is -179 kJ/mol of atoms.

The structure belongs to space group P-3m1 (No. 164); the cell edges are 5.9601, 5.9601 and 7.4368 Å and the angles 90.00°, 90.00° and 120.00°. The inequivalent atoms are Ba at (0.0000, 0.0000, 0.0000), Pa at (0.0000, 0.0000, 0.5000), S at (0.3333, 0.6667, 0.2730), O at (0.1622, 0.3244, 0.3114) and O at (0.3333, 0.6667, 0.0747).